No. 1
AlNi2W after structural relaxation. Source: Alexandria via LeMat-Bulk, functional GGA-PBEsol.

ΔH_f (0 K)   -0.301 eV per atom
Crystal system   tetragonal

Cell: 2.6935 2.6935 6.7612 Å, 90.00 90.00 90.00°
With the nearest neighbours (Å) after each atom.
Atoms (fractional coordinates):
Al 0.0000 0.0000 0.0000  8 Ni 2.46, 4 Al 2.69
Ni 0.5000 0.5000 0.2307  4 Al 2.46, 4 W 2.63, 4 Ni 2.69
Ni 0.5000 0.5000 0.7693  4 Al 2.46, 4 W 2.63, 4 Ni 2.69
W 0.0000 0.0000 0.5000  8 Ni 2.63, 4 W 2.69

---

No. 2
ZnFeTc after structural relaxation. Source: Alexandria via LeMat-Bulk, functional GGA-PBEsol.

ΔH_f (0 K)   0.024 eV per atom
Crystal system   tetragonal

Cell: 5.3389 5.3389 5.3389 Å, 150.50 150.50 42.21°
With the nearest neighbours (Å) after each atom.
Atoms (fractional coordinates):
Zn 0.0000 0.0000 0.0000  4 Fe 2.50, 4 Tc 2.69, 4 Zn 2.72
Fe 0.6608 0.6608 0.0000  4 Tc 2.44, 4 Zn 2.50, 4 Fe 2.72
Tc 0.3117 0.3117 0.0000  4 Fe 2.44, 4 Zn 2.69, 4 Tc 2.72

---

No. 3
CaBe4As after structural relaxation. Source: Alexandria via LeMat-Bulk, functional GGA-PBEsol.

ΔH_f (0 K)   0.346 eV per atom
Crystal system   cubic

Cell: 4.8372 4.8372 4.8372 Å, 60.00 60.00 60.00°
With the nearest neighbours (Å) after each atom.
Atoms (fractional coordinates):
Ca 0.0000 0.0000 0.0000  12 Be 2.83, 4 As 2.96
Be 0.1147 0.6284 0.6284  6 Be 2.35-2.49
Be 0.6284 0.1147 0.6284  6 Be 2.35-2.49
Be 0.6284 0.6284 0.1147  6 Be 2.35-2.49
Be 0.6284 0.6284 0.6284  6 Be 2.35-2.49
As 0.2500 0.2500 0.2500  12 Be 2.84, 4 Ca 2.96

---

No. 4
KTa2Rh after structural relaxation. Source: Alexandria via LeMat-Bulk, functional GGA-PBEsol.

ΔH_f (0 K)   1.268 eV per atom
Crystal system   tetragonal

Cell: 5.5909 5.5909 5.5909 Å, 139.06 139.06 59.28°
With the nearest neighbours (Å) after each atom.
Atoms (fractional coordinates):
K 0.0000 0.0000 0.0000  4 Rh 2.76
Ta 0.2500 0.7500 0.5000  4 Ta 2.76
Ta 0.7500 0.2500 0.5000  4 Ta 2.76
Rh 0.5000 0.5000 0.0000  4 K 2.76

---

No. 5
PdCBr2 after structural relaxation. Source: Alexandria via LeMat-Bulk, functional GGA-PBEsol.

Energy relative to the elements, uncorrected   1.35 eV/atom
Crystal system   trigonal

Cell: 7.9817 7.9817 7.9817 Å, 24.09 24.09 24.09°
With the nearest neighbours (Å) after each atom.
Atoms (fractional coordinates):
Pd 0.0000 0.0000 0.0000  2 Br 2.40
C 0.5000 0.5000 0.5000  6 Br 2.42
Br 0.1033 0.1033 0.1033  1 Pd 2.40, 3 C 2.42
Br 0.8967 0.8967 0.8967  1 Pd 2.40, 3 C 2.42

---

No. 6
AlMoW2 after structural relaxation. Source: Alexandria via LeMat-Bulk, functional GGA-PBEsol.

ΔH_f (0 K)   0.007 eV per atom
Crystal system   orthorhombic

Cell: 5.1536 5.1536 5.1536 Å, 144.28 129.39 63.48°
With the nearest neighbours (Å) after each atom.
Atoms (fractional coordinates):
Al 0.0000 0.0000 0.0000  6 W 2.71-2.77, 2 Mo 2.76
Mo 0.7423 0.2423 0.5000  6 W 2.63-2.72, 2 Al 2.76
W 0.2599 0.7599 0.5000  2 W 2.64, 4 Mo 2.72, 2 Al 2.77
W 0.5018 0.5018 0.0000  2 Mo 2.63, 2 W 2.64, 4 Al 2.71

---

No. 7
MnNiIr2 after structural relaxation. Source: Alexandria via LeMat-Bulk, functional GGA-PBEsol.

ΔH_f (0 K)   -0.043 eV per atom
Crystal system   monoclinic

Cell: 4.4377 4.4377 4.5947 Å, 100.13 100.13 34.88°
With the nearest neighbours (Å) after each atom.
Atoms (fractional coordinates):
Mn 0.0000 0.0000 0.0000  6 Ir 2.57-2.61, 4 Ni 2.65, 2 Mn 2.66
Ni 0.5000 0.5000 0.5000  6 Ir 2.57-2.60, 4 Mn 2.65, 2 Ni 2.66
Ir 0.2522 0.2522 0.7491  3 Ni 2.57-2.60, 3 Mn 2.57-2.61, 6 Ir 2.64-2.67
Ir 0.7478 0.7478 0.2509  3 Ni 2.57-2.60, 3 Mn 2.57-2.61, 6 Ir 2.64-2.67

---

No. 8
BaTc2W after structural relaxation. Source: Alexandria via LeMat-Bulk, functional GGA-PBEsol.

ΔH_f (0 K)   0.772 eV per atom
Crystal system   orthorhombic

Cell: 2.9927 3.6410 7.7622 Å, 90.00 90.00 90.00°
With the nearest neighbours (Å) after each atom.
Atoms (fractional coordinates):
Ba 0.0000 0.0000 0.0000  2 Ba 2.99
Tc 0.0000 0.0000 0.5106  4 Tc 2.61, 4 W 2.67
Tc 0.5000 0.5000 0.6556  1 W 2.38, 4 Tc 2.61
W 0.5000 0.5000 0.3488  1 Tc 2.38

---

No. 9
Mn2MoIrSe after structural relaxation. Source: Alexandria via LeMat-Bulk, functional GGA-PBEsol.

Energy relative to the elements, uncorrected   1.17 eV/atom
Crystal system   tetragonal

Cell: 4.3464 4.3464 4.5632 Å, 90.00 90.00 90.00°
With the nearest neighbours (Å) after each atom.
Atoms (fractional coordinates):
Mn 0.0000 0.5000 0.0000  2 Se 2.17
Mn 0.5000 0.0000 0.0000  2 Se 2.17
Mo 0.0000 0.0000 0.5000  4 Ir 3.07, 8 Mn 3.15
Ir 0.5000 0.5000 0.5000  2 Se 2.28
Se 0.5000 0.5000 0.0000  4 Mn 2.17, 2 Ir 2.28

---

No. 10
Co2Pt after structural relaxation. Source: Alexandria via LeMat-Bulk, functional GGA-PBEsol.

ΔH_f (0 K)   -0.059 eV per atom
Crystal system   orthorhombic

Cell: 4.5108 4.5108 4.1428 Å, 90.00 90.00 59.15°
With the nearest neighbours (Å) after each atom.
Atoms (fractional coordinates):
Co 0.0091 0.3400 0.2500  7 Co 2.50-2.74, 5 Pt 2.55-2.68
Co 0.3400 0.0091 0.7500  7 Co 2.50-2.74, 5 Pt 2.55-2.68
Co 0.6600 0.9909 0.2500  7 Co 2.50-2.74, 5 Pt 2.55-2.68
Co 0.9909 0.6600 0.7500  7 Co 2.50-2.74, 5 Pt 2.55-2.68
Pt 0.3165 0.6835 0.2500  10 Co 2.55-2.68, 2 Pt 2.64
Pt 0.6835 0.3165 0.7500  10 Co 2.55-2.68, 2 Pt 2.64

---

No. 11
Tl4Hg3 after structural relaxation. Source: Alexandria via LeMat-Bulk, functional GGA-PBEsol.

ΔH_f (0 K)   -0.003 eV per atom
Crystal system   tetragonal

Cell: 12.6748 12.6748 12.6748 Å, 162.48 162.48 24.87°
With the nearest neighbours (Å) after each atom.
Atoms (fractional coordinates):
Tl 0.0699 0.0699 0.0000  4 Hg 3.23, 5 Tl 3.35-3.46
Tl 0.3518 0.3518 0.0000  5 Hg 3.23-3.30, 4 Tl 3.35
Tl 0.6482 0.6482 0.0000  5 Hg 3.23-3.30, 4 Tl 3.35
Tl 0.9301 0.9301 0.0000  4 Hg 3.23, 5 Tl 3.35-3.46
Hg 0.2183 0.2183 0.0000  4 Hg 3.15, 5 Tl 3.23-3.30
Hg 0.5000 0.5000 0.0000  8 Tl 3.23
Hg 0.7817 0.7817 0.0000  4 Hg 3.15, 5 Tl 3.23-3.30

---

No. 12
LiScCd4 after structural relaxation. Source: Alexandria via LeMat-Bulk, functional GGA-PBEsol.

ΔH_f (0 K)   -0.128 eV per atom
Crystal system   cubic

Cell: 5.6474 5.6474 5.6474 Å, 60.00 60.00 60.00°
With the nearest neighbours (Å) after each atom.
Atoms (fractional coordinates):
Li 0.0000 0.0000 0.0000  12 Cd 3.31, 4 Sc 3.46
Sc 0.7500 0.7500 0.7500  12 Cd 3.31, 4 Li 3.46
Cd 0.3751 0.3751 0.3751  6 Cd 2.82-2.83
Cd 0.3751 0.3751 0.8747  6 Cd 2.82-2.83
Cd 0.3751 0.8747 0.3751  6 Cd 2.82-2.83
Cd 0.8747 0.3751 0.3751  6 Cd 2.82-2.83

---

No. 13
POsIN2 after structural relaxation. Source: Alexandria via LeMat-Bulk, functional GGA-PBEsol.

Energy relative to the elements, uncorrected   1.75 eV/atom
Crystal system   tetragonal

Cell: 3.5008 3.5008 7.5614 Å, 90.00 90.00 90.00°
With the nearest neighbours (Å) after each atom.
Atoms (fractional coordinates):
P 0.0000 0.0000 0.0000  4 N 1.75
Os 0.5000 0.5000 0.5000  4 I 2.48
I 0.0000 0.0000 0.5000  4 Os 2.48
N 0.0000 0.5000 0.0000  2 P 1.75
N 0.5000 0.0000 0.0000  2 P 1.75

---

No. 14
Zn7Hg after structural relaxation. Source: Alexandria via LeMat-Bulk, functional GGA-PBEsol.

ΔH_f (0 K)   0.071 eV per atom
Crystal system   cubic

Cell: 5.5697 5.5697 5.5697 Å, 60.00 60.00 60.00°
With the nearest neighbours (Å) after each atom.
Atoms (fractional coordinates):
Zn 0.0000 0.0000 0.0000  12 Zn 2.78
Zn 0.0000 0.0000 0.5000  2 Hg 2.78, 10 Zn 2.78
Zn 0.0000 0.5000 0.0000  2 Hg 2.78, 10 Zn 2.78
Zn 0.0000 0.5000 0.5000  10 Zn 2.78, 2 Hg 2.78
Zn 0.5000 0.0000 0.0000  2 Hg 2.78, 10 Zn 2.78
Zn 0.5000 0.0000 0.5000  10 Zn 2.78, 2 Hg 2.78
Zn 0.5000 0.5000 0.0000  10 Zn 2.78, 2 Hg 2.78
Hg 0.5000 0.5000 0.5000  12 Zn 2.78

---

No. 15
Ni2TeAs after structural relaxation. Source: Alexandria via LeMat-Bulk, functional GGA-PBEsol.

Energy relative to the elements, uncorrected   0.52 eV/atom
Crystal system   cubic

Cell: 4.4708 4.4708 4.4708 Å, 60.00 60.00 60.00°
With the nearest neighbours (Å) after each atom.
Atoms (fractional coordinates):
Ni 0.0000 0.0000 0.0000  4 As 2.74, 4 Ni 2.74
Ni 0.2500 0.2500 0.2500  4 Ni 2.74, 4 Te 2.74
Te 0.5000 0.5000 0.5000  4 As 2.74, 4 Ni 2.74
As 0.7500 0.7500 0.7500  4 Te 2.74, 4 Ni 2.74

---

No. 16
YMg2Cu2 after structural relaxation. Source: Alexandria via LeMat-Bulk, functional GGA-PBEsol.

ΔH_f (0 K)   -0.117 eV per atom
Crystal system   tetragonal

Cell: 6.5812 6.5812 6.5812 Å, 144.76 144.76 50.69°
With the nearest neighbours (Å) after each atom.
Atoms (fractional coordinates):
Y 0.0000 0.0000 0.0000  8 Cu 3.05
Mg 0.2500 0.7500 0.5000  4 Cu 2.68, 4 Mg 2.82
Mg 0.7500 0.2500 0.5000  4 Cu 2.68, 4 Mg 2.82
Cu 0.4008 0.4008 0.0000  1 Cu 2.36
Cu 0.5992 0.5992 0.0000  1 Cu 2.36

---

No. 17
TaSi4Ag after structural relaxation. Source: Alexandria via LeMat-Bulk, functional GGA-PBEsol.

Energy relative to the elements, uncorrected   0.23 eV/atom
Crystal system   cubic

Cell: 4.9515 4.9515 4.9515 Å, 60.00 60.00 60.00°
With the nearest neighbours (Å) after each atom.
Atoms (fractional coordinates):
Ta 0.0000 0.0000 0.0000  12 Si 2.90, 4 Ag 3.03
Si 0.3747 0.3747 0.3747  6 Si 2.47-2.48
Si 0.3747 0.3747 0.8760  6 Si 2.47-2.48
Si 0.3747 0.8760 0.3747  6 Si 2.47-2.48
Si 0.8760 0.3747 0.3747  6 Si 2.47-2.48
Ag 0.7500 0.7500 0.7500  12 Si 2.90, 4 Ta 3.03

---

No. 18
LaMnN2F after structural relaxation. Source: Alexandria via LeMat-Bulk, functional GGA-PBEsol.

Energy relative to the elements, uncorrected   0.09 eV/atom
Crystal system   tetragonal

Cell: 4.3981 4.3981 4.4674 Å, 90.00 90.00 90.00°
With the nearest neighbours (Å) after each atom.
Atoms (fractional coordinates):
La 0.0000 0.0000 0.0000  4 N 2.20, 2 F 2.23
Mn 0.5000 0.5000 0.5000  4 F 3.11, 8 N 3.13
N 0.0000 0.5000 0.0000  2 La 2.20
N 0.5000 0.0000 0.0000  2 La 2.20
F 0.0000 0.0000 0.5000  2 La 2.23

---

No. 19
CoNiSb after structural relaxation. Source: Alexandria via LeMat-Bulk, functional GGA-PBEsol.

Energy relative to the elements, uncorrected   0.08 eV/atom
Crystal system   orthorhombic

Cell: 4.4447 4.4447 4.4447 Å, 139.19 134.08 63.09°
With the nearest neighbours (Å) after each atom.
Atoms (fractional coordinates):
Co 0.0000 0.0000 0.0000  5 Sb 2.51-2.65, 5 Ni 2.56-2.63
Ni 0.6616 0.6616 0.0000  5 Sb 2.50-2.66, 5 Co 2.56-2.63
Sb 0.3314 0.3314 0.0000  5 Ni 2.50-2.66, 5 Co 2.51-2.65

---

No. 20
LiHf2NiAg after structural relaxation. Source: Alexandria via LeMat-Bulk, functional GGA-PBEsol.

ΔH_f (0 K)   0.455 eV per atom
Crystal system   tetragonal

Cell: 4.6666 4.6666 4.8057 Å, 90.00 90.00 90.00°
With the nearest neighbours (Å) after each atom.
Atoms (fractional coordinates):
Li 0.0000 0.0000 0.0000  4 Ag 3.30, 8 Hf 3.35
Hf 0.0000 0.5000 0.5000  2 Ni 2.33
Hf 0.5000 0.0000 0.5000  2 Ni 2.33
Ni 0.5000 0.5000 0.5000  4 Hf 2.33, 2 Ag 2.40
Ag 0.5000 0.5000 0.0000  2 Ni 2.40